## one
VASP calculation (PBE-GGA) on MgReAsO after structural relaxation.

Cell lengths 3.2276, 6.5844, 5.8194 Å; angles 90.00, 90.00, 90.00 degrees
With the nearest neighbours (Å) after each atom.
Positions (direct):
Mg1 0.0000 0.1194 0.0000  2 O 1.89
Mg2 0.0000 0.8806 0.5000  2 O 1.89
Re1 0.5000 0.4984 0.7325  2 O 2.10-2.11
Re2 0.5000 0.5016 0.2325  2 O 2.10-2.11
As1 0.0000 0.2869 0.4848  4 Re 2.57-2.60, 1 Mg 2.68
As2 0.0000 0.7131 0.9848  4 Re 2.57-2.60, 1 Mg 2.68
O1 0.5000 0.2682 0.9831  2 Mg 1.89, 2 Re 2.10-2.11
O2 0.5000 0.7318 0.4831  2 Mg 1.89, 2 Re 2.10-2.11

Calculated values
- total magnetic moment (Bohr magnetons per cell) = 0.051
- space-group type = Pmc2_1 (26)

***

## two
VASP calculation (PBE-GGA) on MgReAsO after structural relaxation.

Cell lengths 3.8503, 3.8503, 9.3094 Å; angles 90.00, 90.00, 90.00 degrees
With the nearest neighbours (Å) after each atom.
Positions (direct):
Mg1 0.2500 0.2500 0.0252  4 O 1.94
Mg2 0.7500 0.7500 0.9748  4 O 1.94
Re1 0.2500 0.7500 0.5000  4 As 2.59, 4 Re 2.72
Re2 0.7500 0.2500 0.5000  4 As 2.59, 4 Re 2.72
As1 0.2500 0.2500 0.6855  4 Re 2.59
As2 0.7500 0.7500 0.3145  4 Re 2.59
O1 0.2500 0.7500 0.0000  4 Mg 1.94
O2 0.7500 0.2500 0.0000  4 Mg 1.94

Calculated values
- total magnetic moment (Bohr magnetons per cell) = 0.004
- space-group type = P4/nmm (129)

***

Most stable: two

***

## one
VASP calculation (PBE-GGA) on MgTcAsO after structural relaxation.

Cell lengths 4.0455, 4.8423, 5.9231 Å; angles 90.00, 90.00, 90.00 degrees
With the nearest neighbours (Å) after each atom.
Positions (direct):
Mg1 0.0000 0.2363 0.0000  2 O 2.05-2.06
Mg2 0.0000 0.7637 0.5000  2 O 2.05-2.06
Tc1 0.5000 0.3901 0.3226  2 O 2.02
Tc2 0.5000 0.6099 0.8226  2 O 2.02
As1 0.5000 0.1173 0.6841  3 Tc 2.52-2.59, 2 Mg 2.82
As2 0.5000 0.8827 0.1841  3 Tc 2.52-2.59, 2 Mg 2.82
O1 0.0000 0.4011 0.3187  2 Tc 2.02, 2 Mg 2.05-2.06
O2 0.0000 0.5989 0.8187  2 Tc 2.02, 2 Mg 2.05-2.06

Calculated values
- total magnetic moment (Bohr magnetons per cell) = 0.027
- space-group type = Pmc2_1 (26)

***

## two
VASP calculation (PBE-GGA) on MgTcAsO after structural relaxation.

Cell lengths 3.6959, 3.6959, 8.2342 Å; angles 90.00, 90.00, 90.00 degrees
With the nearest neighbours (Å) after each atom.
Positions (direct):
Mg1 0.2500 0.7500 0.0000  4 Mg 2.61, 4 As 2.66
Mg2 0.7500 0.2500 0.0000  4 Mg 2.61, 4 As 2.66
Tc1 0.2500 0.2500 0.3525  4 O 2.21
Tc2 0.7500 0.7500 0.6475  4 O 2.21
As1 0.2500 0.2500 0.7675  4 Mg 2.66, 4 Tc 2.79, 4 O 2.87
As2 0.7500 0.7500 0.2325  4 Mg 2.66, 4 Tc 2.79, 4 O 2.87
O1 0.2500 0.7500 0.5000  4 Tc 2.21
O2 0.7500 0.2500 0.5000  4 Tc 2.21

Calculated values
- total magnetic moment (Bohr magnetons per cell) = 1.549
- space-group type = P4/nmm (129)

***

## three
VASP calculation (PBE-GGA) on MgTcAsO after structural relaxation.

Cell lengths 3.8841, 3.8841, 9.0694 Å; angles 90.00, 90.00, 90.00 degrees
With the nearest neighbours (Å) after each atom.
Positions (direct):
Mg1 0.2500 0.2500 0.0175  4 O 1.95
Mg2 0.7500 0.7500 0.9825  4 O 1.95
Tc1 0.2500 0.7500 0.5000  4 As 2.55, 4 Tc 2.75
Tc2 0.7500 0.2500 0.5000  4 As 2.55, 4 Tc 2.75
As1 0.2500 0.2500 0.6820  4 Tc 2.55
As2 0.7500 0.7500 0.3180  4 Tc 2.55
O1 0.2500 0.7500 0.0000  4 Mg 1.95
O2 0.7500 0.2500 0.0000  4 Mg 1.95

Calculated values
- total magnetic moment (Bohr magnetons per cell) = 0.516
- space-group type = P4/nmm (129)

***

## four
VASP calculation (PBE-GGA) on MgTcAsO after structural relaxation.

Cell lengths 3.2713, 6.4000, 5.8886 Å; angles 90.00, 90.00, 90.00 degrees
With the nearest neighbours (Å) after each atom.
Positions (direct):
Mg1 0.0000 0.1272 0.0000  2 O 1.89
Mg2 0.0000 0.8728 0.5000  2 O 1.89
Tc1 0.5000 0.4985 0.1837  2 O 2.11-2.15
Tc2 0.5000 0.5015 0.6837  2 O 2.11-2.15
As1 0.0000 0.2880 0.4412  4 Tc 2.57-2.61, 2 Mg 2.68-2.79
As2 0.0000 0.7120 0.9412  4 Tc 2.57-2.61, 2 Mg 2.68-2.79
O1 0.5000 0.2598 0.9265  2 Mg 1.89, 1 Tc 2.11
O2 0.5000 0.7402 0.4265  2 Mg 1.89, 1 Tc 2.11

Calculated values
- total magnetic moment (Bohr magnetons per cell) = 0.963
- space-group type = Pmc2_1 (26)

***

Most stable: three